Here is a relaxed structure of NaPm2InO5 from the Alexandria database. Energies are from PBE.

Cell lengths 6.7669, 6.7669, 7.7076 Å; angles 116.04, 116.04, 90.00 degrees
Last column: nearest neighbours and their distance in Å.
Element x y z (fractional)
O (0.5199, 0.7299, 0.7498)  1 In 2.05, 1 Pm 2.27
O (0.7299, 0.2299, 0.7498)  1 In 2.05, 1 Pm 2.27
O (0.7701, 0.9801, 0.2502)  1 In 2.05, 1 Pm 2.27
O (0.5000, 0.5000, 0.0000)  4 Pm 2.49
O (0.2299, 0.0199, 0.7498)  1 In 2.05, 1 Pm 2.27
O (0.0199, 0.5199, 0.7498)  1 In 2.05, 1 Pm 2.27
O (0.2701, 0.7701, 0.2502)  1 In 2.05, 1 Pm 2.27
O (0.0000, 0.0000, 0.0000)  4 Pm 2.49
O (0.4801, 0.2701, 0.2502)  1 In 2.05, 1 Pm 2.27
O (0.9801, 0.4801, 0.2502)  1 In 2.05, 1 Pm 2.27
In (0.2500, 0.7500, 0.5000)  4 O 2.05
In (0.7500, 0.2500, 0.5000)  4 O 2.05
Na (0.2500, 0.2500, 0.5000)  10 O 3.00-3.02
Na (0.7500, 0.7500, 0.5000)  10 O 3.00-3.02
Pm (0.3219, 0.8219, 0.0000)  4 O 2.27-2.49
Pm (0.6781, 0.1781, 0.0000)  4 O 2.27-2.49
Pm (0.8219, 0.6781, 0.0000)  4 O 2.27-2.49
Pm (0.1781, 0.3219, 0.0000)  4 O 2.27-2.49

## Properties
Raw formation energy in eV/f.u.: -21.700
Space group: No. 140
DOS(E_F) in states/eV/cell: 0.0

Here is a relaxed structure of Ga3Pb from the Alexandria database. Energies are from PBE.

Cell lengths 4.7417, 4.7417, 5.2690 Å; angles 116.74, 116.74, 90.00 degrees
Last column: nearest neighbours and their distance in Å.
Element x y z (fractional)
Pb (0.0000, 0.0000, 0.0000)  12 Ga 3.12-3.35
Ga (0.2500, 0.7500, 0.5000)  4 Pb 3.12, 8 Ga 3.12-3.35
Ga (0.7500, 0.2500, 0.5000)  4 Pb 3.12, 8 Ga 3.12-3.35
Ga (0.5000, 0.5000, 0.0000)  8 Ga 3.12, 4 Pb 3.35

## Properties
Space group: No. 139
DOS(E_F) in states/eV/cell: 2.3
E_form in eV per atom: 0.099

Here is a relaxed structure of Y5Al2Bi2 from the Alexandria database. Energies are from PBE.

Cell lengths 8.0709, 8.0746, 8.8405 Å; angles 117.17, 90.00, 90.00 degrees
Last column: nearest neighbours and their distance in Å.
Element x y z (fractional)
Y (0.5000, 0.5000, 0.0000)  4 Al 3.21, 2 Bi 3.26
Y (0.3298, 0.6995, 0.7413)  3 Al 3.12-3.15, 3 Bi 3.22-3.24
Y (0.6702, 0.0418, 0.7413)  3 Al 3.12-3.15, 3 Bi 3.22-3.24
Y (0.3298, 0.9582, 0.2587)  3 Al 3.12-3.15, 3 Bi 3.22-3.24
Y (0.1702, 0.4582, 0.2587)  3 Al 3.12-3.15, 3 Bi 3.22-3.24
Y (0.6702, 0.3005, 0.2587)  3 Al 3.12-3.15, 3 Bi 3.22-3.24
Y (0.1702, 0.1995, 0.7413)  3 Al 3.12-3.15, 3 Bi 3.22-3.24
Y (0.8298, 0.5418, 0.7413)  3 Al 3.12-3.15, 3 Bi 3.22-3.24
Y (0.0000, 0.0000, 0.0000)  4 Al 3.21, 2 Bi 3.26
Y (0.8298, 0.8005, 0.2587)  3 Al 3.12-3.15, 3 Bi 3.22-3.24
Bi (0.5000, 0.2927, 0.5854)  7 Y 3.22-3.26
Bi (0.0000, 0.7927, 0.5854)  7 Y 3.22-3.26
Bi (0.5000, 0.7073, 0.4146)  7 Y 3.22-3.26
Bi (0.0000, 0.2073, 0.4146)  7 Y 3.22-3.26
Al (0.8787, 0.3781, 0.0000)  1 Al 2.78
Al (0.1213, 0.6219, 0.0000)  1 Al 2.78
Al (0.3787, 0.1219, 0.0000)  1 Al 2.78
Al (0.6213, 0.8781, 0.0000)  1 Al 2.78

## Properties
Space group: No. 64
DOS(E_F) in states/eV/cell: 11.3
E_form in eV per atom: -0.640

Here is a relaxed structure of Zr2HRhPb from the Alexandria database. Energies are from PBE.

Cell lengths 4.4478, 4.4478, 4.1992 Å; angles 90.00, 90.00, 90.00 degrees
Last column: nearest neighbours and their distance in Å.
Element x y z (fractional)
Pb (0.5000, 0.5000, 0.5000)  8 Zr 3.06, 4 Rh 3.15
Rh (0.0000, 0.0000, 0.5000)  2 H 2.10
Zr (0.0000, 0.5000, 0.0000)  2 H 2.22
Zr (0.5000, 0.0000, 0.0000)  2 H 2.22
H (0.0000, 0.0000, 0.0000)  2 Rh 2.10, 4 Zr 2.22

## Properties
Space group: No. 123
DOS(E_F) in states/eV/cell: 4.5
Total DFT energy (no corrections) in eV/cell: -33.348

Here is a relaxed structure of InCuAuCl2 from the Alexandria database. Energies are from PBE.

Cell lengths 4.8398, 6.2464, 4.8398 Å; angles 90.00, 90.00, 90.00 degrees
Last column: nearest neighbours and their distance in Å.
Element x y z (fractional)
Au (0.0000, 0.0000, 0.0000)  4 Cl 2.42
In (0.0000, 0.5000, 0.0000)  2 Au 3.12, 4 Cu 3.42
Cu (0.5000, 0.5000, 0.5000)  4 In 3.42
Cl (0.0000, 0.0000, 0.5000)  2 Au 2.42
Cl (0.5000, 0.0000, 0.0000)  2 Au 2.42

## Properties
Raw formation energy in eV/f.u.: 1.523
Space group: No. 123
DOS(E_F) in states/eV/cell: 2.1

Here is a relaxed structure of K2Zn2Te2Se from the Alexandria database. Energies are from PBE.

Cell lengths 4.4064, 7.9057, 8.4459 Å; angles 54.71, 89.99, 73.83 degrees
Last column: nearest neighbours and their distance in Å.
Element x y z (fractional)
Zn (0.1882, 0.6230, 0.3068)  1 Se 2.45, 2 Te 2.72
Zn (0.8118, 0.3770, 0.6932)  1 Se 2.45, 2 Te 2.72
Te (0.8092, 0.3808, 0.3623)  3 Zn 2.72-2.78
Te (0.1908, 0.6192, 0.6377)  3 Zn 2.72-2.78
K (0.4391, 0.1212, 0.1972)  2 Se 3.21
K (0.5609, 0.8788, 0.8028)  2 Se 3.21
Se (0.0000, 0.0000, 0.0000)  2 Zn 2.45

## Properties
Raw formation energy in eV/f.u.: -5.544
Space group: No. 12

Here is a relaxed structure of ZnInPt2 from the Alexandria database. Energies are from PBE.

Cell lengths 3.8004, 2.9419, 6.5228 Å; angles 63.73, 90.00, 90.00 degrees
Last column: nearest neighbours and their distance in Å.
Element x y z (fractional)
Pt (0.0000, 0.5105, 0.4882)  4 Zn 2.77-2.79, 4 Pt 2.79-3.06, 4 In 2.84-2.85
Pt (0.0000, 0.9895, 0.0118)  4 Zn 2.77-2.79, 4 Pt 2.79-3.06, 4 In 2.84-2.85
Zn (0.5000, 0.2500, 0.2500)  8 Pt 2.77-2.79, 2 In 2.92, 2 Zn 2.94
In (0.5000, 0.7500, 0.7500)  8 Pt 2.84-2.85, 2 Zn 2.92, 2 In 2.94

## Properties
Space group: No. 10
DOS(E_F) in states/eV/cell: 1.4
E_form in eV per atom: -0.452

Here is a relaxed structure of BaAsPbBr2 from the Alexandria database. Energies are from PBE.

Cell lengths 5.8112, 5.8112, 5.4843 Å; angles 90.00, 90.00, 90.00 degrees
Last column: nearest neighbours and their distance in Å.
Element x y z (fractional)
Ba (0.5000, 0.5000, 0.5000)  8 Br 4.00, 4 As 4.11
Pb (0.0000, 0.0000, 0.0000)  2 As 2.74, 4 Br 2.91
Br (0.0000, 0.5000, 0.0000)  2 Pb 2.91
Br (0.5000, 0.0000, 0.0000)  2 Pb 2.91
As (0.0000, 0.0000, 0.5000)  2 Pb 2.74

## Properties
Raw formation energy in eV/f.u.: -3.734
Relative energy among the computed polymorphs in meV/atom: 0
Space group: No. 123
DOS(E_F) in states/eV/cell: 2.5

Here is a relaxed structure of TiAlTcRu from the Alexandria database. Energies are from PBE.

Cell lengths 4.3325, 4.3325, 4.3325 Å; angles 60.00, 60.00, 60.00 degrees
Last column: nearest neighbours and their distance in Å.
Element x y z (fractional)
Ru (0.5000, 0.5000, 0.5000)  4 Al 2.65, 4 Ti 2.65
Al (0.7500, 0.7500, 0.7500)  4 Ru 2.65, 4 Tc 2.65
Tc (0.0000, 0.0000, 0.0000)  4 Ti 2.65, 4 Al 2.65
Ti (0.2500, 0.2500, 0.2500)  4 Tc 2.65, 4 Ru 2.65

## Properties
Relative energy among the computed polymorphs in meV/atom: 19
Space group: No. 216
DOS(E_F) in states/eV/cell: 6.2
E_form in eV per atom: -0.550

Here is a relaxed structure of HfCuGeRh from the Alexandria database. Energies are from PBE.

Cell lengths 4.4409, 4.4409, 4.4409 Å; angles 60.00, 60.00, 60.00 degrees
Last column: nearest neighbours and their distance in Å.
Element x y z (fractional)
Cu (0.2500, 0.2500, 0.2500)  4 Ge 2.72, 4 Hf 2.72
Ge (0.0000, 0.0000, 0.0000)  4 Rh 2.72, 4 Cu 2.72
Rh (0.7500, 0.7500, 0.7500)  4 Ge 2.72, 4 Hf 2.72
Hf (0.5000, 0.5000, 0.5000)  4 Cu 2.72, 4 Rh 2.72

## Properties
Space group: No. 216
DOS(E_F) in states/eV/cell: 1.2
E_form in eV per atom: -0.474

Here is a relaxed structure of SrCa2Hg4Pb from the Alexandria database. Energies are from PBE.

Cell lengths 5.3829, 5.3829, 9.6345 Å; angles 73.78, 73.78, 60.00 degrees
Last column: nearest neighbours and their distance in Å.
Element x y z (fractional)
Sr (0.0000, 0.0000, 0.0000)  8 Hg 3.30
Ca (0.7588, 0.7588, 0.7235)  7 Hg 3.20-3.41
Ca (0.2412, 0.2412, 0.2765)  7 Hg 3.20-3.41
Hg (0.1206, 0.1206, 0.6382)  4 Ca 3.20-3.30, 1 Sr 3.30, 3 Pb 3.35
Hg (0.6259, 0.6259, 0.1223)  3 Sr 3.30, 4 Ca 3.41-3.64, 1 Pb 3.44
Hg (0.8794, 0.8794, 0.3618)  4 Ca 3.20-3.30, 1 Sr 3.30, 3 Pb 3.35
Hg (0.3741, 0.3741, 0.8777)  3 Sr 3.30, 4 Ca 3.41-3.64, 1 Pb 3.44
Pb (0.5000, 0.5000, 0.5000)  8 Hg 3.35-3.44, 6 Ca 3.72

## Properties
Space group: No. 166
DOS(E_F) in states/eV/cell: 4.7
E_form in eV per atom: -0.443

Here is a relaxed structure of Na2PuO4 from the Alexandria database. Energies are from PBE.

Cell lengths 3.4339, 5.8166, 6.2378 Å; angles 118.73, 105.98, 90.00 degrees
Last column: nearest neighbours and their distance in Å.
Element x y z (fractional)
O (0.3910, 0.7560, 0.7819)  2 Pu 2.19, 1 Na 2.32
O (0.8898, 0.1469, 0.7796)  1 Pu 1.90
O (0.6090, 0.2440, 0.2181)  2 Pu 2.19, 1 Na 2.32
O (0.1102, 0.8531, 0.2204)  1 Pu 1.90
Na (0.3155, 0.3034, 0.6311)  4 O 2.32-2.54
Na (0.6845, 0.6966, 0.3689)  4 O 2.32-2.54
Pu (0.0000, 0.0000, 0.0000)  2 O 1.90

## Properties
Raw formation energy in eV/f.u.: -15.774
Space group: No. 12
DOS(E_F) in states/eV/cell: 2.1